## ZnNiPb2O6 (PBE+U)

Data for a relaxed ZnNiPb2O6 crystal.

```
ZnNiPb2O6
1.0
2.739 1.581 4.836
-2.739 1.581 4.836
0.000 -3.162 4.836
Zn Ni Pb O
1 1 2 6
Direct
0.000 0.000 0.000
0.490 0.490 0.490
0.279 0.279 0.279
0.783 0.783 0.783
0.107 0.374 0.696
0.205 0.866 0.603
0.374 0.696 0.107
0.603 0.205 0.866
0.696 0.107 0.374
0.866 0.603 0.205
```

Final energy   -51.05 eV/f.u.